DFT (GGA-PBE) results for an optimized crystal structure of Cu6NiPd8.

Cell: 7.1529 7.1529 5.1226 Å, 90.00 90.00 120.00°
Space group P-31m (No. 162)
Asymmetric unit:
Cu: 0.0000 0.3225 0.3535 x6
Ni: 0.0000 0.0000 0.5000 x1
Pd: 0.0000 0.3360 0.8536 x6
Pd: 0.3333 0.6667 0.5000 x2

The formation energy comes out at 142 meV per atom. The density of states at the Fermi level is 28.85 states/eV/f.u.